KSnAu3Se4 after structural relaxation. Source: the Open Quantum Materials Database, functional PBE-GGA.

The total DFT energy (no corrections) comes out at -3.3571 eV/atom.

The structure belongs to space group P-43m (No. 215); the cell edges are 6.621, 6.621 and 6.621 Å and the angles 90.00°, 90.00° and 90.00°. The inequivalent atoms are K at (0.000, 0.000, 0.000), Sn at (0.500, 0.500, 0.500), Au at (0.000, 0.500, 0.500) and Se at (0.278, 0.278, 0.278).

---

KTaAuSe3 after structural relaxation. Source: the Open Quantum Materials Database, functional PBE-GGA.

The magnetization is 0.36 μB/cell. The total DFT energy (no corrections) comes out at -5.0149 eV/atom.

The structure belongs to space group Cmcm (No. 63); the cell edges are 3.736, 15.635 and 10.182 Å and the angles 90.00°, 90.00° and 90.00°. The inequivalent atoms are K at (0.000, 0.241, 0.250), Ta at (0.000, 0.000, 0.000), Au at (0.000, 0.450, 0.750), Se at (0.000, 0.073, 0.750) and Se at (0.000, 0.379, 0.528).